Density functional theory data (GGA+U) for a relaxed Li2Co2OF6 crystal.

Cell lengths 5.201, 6.726, 8.223 Å; angles 70.36, 76.40, 83.80 degrees
Last column: magnetic moment on the atom in μB.
Positions (direct):
Li 0.350 0.765 0.907  0.00
Li 0.872 0.984 0.749  0.00
Li 0.041 0.967 0.349  0.00
Li 0.669 0.246 0.082  0.00
Co 0.291 0.296 0.801  0.12
Co 0.821 0.520 0.665  3.02
Co 0.184 0.490 0.327  -0.01
Co 0.711 0.704 0.211  -3.13
O 0.950 0.391 0.860  0.42
O 0.842 0.576 0.411  -0.21
F 0.669 0.799 0.972  -0.10
F 0.440 0.566 0.769  0.06
F 0.899 0.818 0.601  0.07
F 0.649 0.232 0.704  0.05
F 0.187 0.031 0.809  0.00
F 0.229 0.422 0.563  0.04
F 0.802 0.981 0.201  -0.08
F 0.324 0.758 0.294  -0.07
F 0.083 0.225 0.370  0.00
F 0.542 0.429 0.228  -0.05
F 0.093 0.605 0.104  -0.06
F 0.352 0.195 0.024  -0.01

Output
- Space-group type: P1, No. 1
- Uncorrected energy: -4.8419 eV/atom